1.
## Dy4Y3Th2 (PBE-GGA)

Data for a relaxed Dy4Y3Th2 crystal.

For the energy above the most stable polymorph in this dataset, the calculation gives 0 meV per atom. The density of states at the Fermi level comes out at 1.484 states/eV/atom. For the spin magnetization, the calculation gives 0.00 μB per formula unit. The formation energy comes out at 1.09 eV per formula unit.

The space group is C2/c (No. 15) and the conventional cell measures 16.2152, 11.6982 and 6.1324 Å, with angles of 90.00, 97.52 and 90.00 degrees. The inequivalent atoms are Dy at (0.0496, 0.1369, 0.0186), Dy at (0.2168, 0.3645, 0.8475), Y at (0.0000, 0.3910, 0.7500), Y at (0.1676, 0.1069, 0.5847) and Th at (0.1121, 0.3617, 0.3117).

=====

2.
## Tb3Pb5 (PBE-GGA)

Data for a relaxed Tb3Pb5 crystal.

The density of states at the Fermi level comes out at 0.517 states/eV/atom. For the spin magnetization, the calculation gives 0.00 μB per formula unit. The formation energy comes out at -3.09 eV per formula unit.

The space group is Cmmm (No. 65) and the conventional cell measures 9.3190, 10.4260 and 4.7412 Å, with angles of 90.00, 90.00 and 90.00 degrees. The inequivalent atoms are Tb at (0.0000, 0.0000, 0.0000), Tb at (0.0000, 0.2799, 0.5000), Pb at (0.0000, 0.5000, 0.0000), Pb at (0.2282, 0.0000, 0.5000) and Pb at (0.2500, 0.2500, 0.0000).